[1]
Density functional theory data (GGA-PBE) for a relaxed structure of MnGeSe4.

The structure in CIF format:
```
data_MnGeSe4
_chemical_formula_sum 'Mn2 Ge2 Se8'
_cell_length_a 5.887
_cell_length_b 5.887
_cell_length_c 9.206
_cell_angle_alpha 90.00
_cell_angle_beta 90.00
_cell_angle_gamma 90.00
_symmetry_space_group_name_H-M 'P -4 2 c'
_symmetry_Int_Tables_number 112
loop_
_symmetry_equiv_pos_as_xyz
'x,y,z'
'y,-x,-z'
'-x,-y,z'
'-y,x,-z'
'x,-y,-z+1/2'
'y,x,z+1/2'
'-x,y,-z+1/2'
'-y,-x,z+1/2'
loop_
_atom_site_label
_atom_site_fract_x
_atom_site_fract_y
_atom_site_fract_z
Mn1 0.000 0.000 0.000
Ge1 0.000 0.500 0.250
Se1 0.251 0.267 0.394
```

Summary:
formation energy without anion corrections	-1.0	eV/f.u.
DOS(E_F)	2.84	states/eV/f.u.
total DFT energy (no corrections)	-4.79	eV/atom
energy above the most stable polymorph in this dataset	0.144	eV/atom



[2]
Density functional theory data (GGA-PBE) for a relaxed structure of MnGe2Se4.

The structure in CIF format:
```
data_MnGe2Se4
_chemical_formula_sum 'Mn2 Ge4 Se8'
_cell_length_a 7.198
_cell_length_b 7.198
_cell_length_c 6.907
_cell_angle_alpha 90.00
_cell_angle_beta 90.00
_cell_angle_gamma 90.00
_symmetry_space_group_name_H-M 'I 4/m'
_symmetry_Int_Tables_number 87
_symmetry_space_group_name_Hall '-I 4'
loop_
_atom_site_label
_atom_site_fract_x
_atom_site_fract_y
_atom_site_fract_z
Mn1 0.000 0.000 0.000
Ge1 0.000 0.500 0.250
Se1 0.184 0.712 0.000
```

Summary:
formation energy without anion corrections	-1.0	eV/f.u.
DOS(E_F)	3.62	states/eV/f.u.
total DFT energy (no corrections)	-4.76	eV/atom



[3]
Density functional theory data (GGA-PBE) for a relaxed structure of MnGeSe2.

The structure in CIF format:
```
data_MnGeSe2
_chemical_formula_sum 'Mn2 Ge2 Se4'
_cell_length_a 8.233
_cell_length_b 3.474
_cell_length_c 5.964
_cell_angle_alpha 90.00
_cell_angle_beta 95.28
_cell_angle_gamma 90.00
_symmetry_space_group_name_H-M 'P 1 2/c 1'
_symmetry_Int_Tables_number 13
loop_
_symmetry_equiv_pos_as_xyz
'x,y,z'
'-x,-y,-z'
'-x,y,-z+1/2'
'x,-y,z+1/2'
loop_
_atom_site_label
_atom_site_fract_x
_atom_site_fract_y
_atom_site_fract_z
Mn1 0.000 0.245 0.250
Ge1 0.500 0.000 0.000
Se1 0.177 0.248 0.940
```

Summary:
formation energy without anion corrections	-0.6	eV/f.u.
DOS(E_F)	2.94	states/eV/f.u.
total DFT energy (no corrections)	-5.34	eV/atom